First-principles (GGA-PBE) data for NbCd3 after structural relaxation, as listed in Alexandria via LeMat-Bulk.

The calculation puts the final energy at -12.260 eV/cell.

It has space group Pm-3m (No. 221), with a = 4.3100 Å, b = 4.3100 Å, c = 4.3100 Å, α = 90.00°, β = 90.00° and γ = 90.00°. The asymmetric unit holds Nb at (0.0000, 0.0000, 0.0000) and Cd at (0.0000, 0.5000, 0.5000).



First-principles (GGA-PBE) data for NbCd5 after structural relaxation, as listed in Alexandria via LeMat-Bulk.

The calculation puts the final energy at -27.209 eV/cell.

It has space group Cmmm (No. 65), with a = 5.4992 Å, b = 15.9279 Å, c = 2.9243 Å, α = 90.00°, β = 90.00° and γ = 90.00°. The asymmetric unit holds Nb at (0.0000, 0.0000, 0.0000), Cd at (0.0000, 0.1649, 0.5000), Cd at (0.0000, 0.3341, 0.0000) and Cd at (0.0000, 0.5000, 0.5000).



First-principles (GGA-PBE) data for NbCd2 after structural relaxation, as listed in Alexandria via LeMat-Bulk.

The calculation puts the final energy at -23.101 eV/cell.

It has space group I4/mmm (No. 139), with a = 2.9316 Å, b = 2.9316 Å, c = 13.8242 Å, α = 90.00°, β = 90.00° and γ = 90.00°. The asymmetric unit holds Nb at (0.0000, 0.0000, 0.0000) and Cd at (0.0000, 0.0000, 0.3372).



First-principles (GGA-PBE) data for NbCd2Ni2 after structural relaxation, as listed in Alexandria via LeMat-Bulk.

Its energy relative to the lowest polymorph listed for this composition is 0.2945 eV per atom.

It has space group I4/mmm (No. 139), with a = 3.1785 Å, b = 3.1785 Å, c = 17.3617 Å, α = 90.00°, β = 90.00° and γ = 90.00°. The asymmetric unit holds Nb at (0.0000, 0.0000, 0.0000), Cd at (0.0000, 0.0000, 0.3797) and Ni at (0.0000, 0.5000, 0.2500).



First-principles (GGA-PBE) data for NbCd2Ni2 after structural relaxation, as listed in Alexandria via LeMat-Bulk.

Its energy relative to the lowest polymorph listed for this composition is 0.1285 eV per atom.

It has space group P4/mbm (No. 127), with a = 7.6132 Å, b = 7.6132 Å, c = 2.7951 Å, α = 90.00°, β = 90.00° and γ = 90.00°. The asymmetric unit holds Nb at (0.0000, 0.0000, 0.0000), Cd at (0.1281, 0.3719, 0.0000) and Ni at (0.1734, 0.6734, 0.5000).



First-principles (GGA-PBE) data for NbCdNi2 after structural relaxation, as listed in Alexandria via LeMat-Bulk.

The calculation puts the final energy at -22.863 eV/cell.

It has space group P4/mmm (No. 123), with a = 3.1520 Å, b = 3.1520 Å, c = 6.2190 Å, α = 90.00°, β = 90.00° and γ = 90.00°. The asymmetric unit holds Nb at (0.0000, 0.0000, 0.0000), Cd at (0.0000, 0.0000, 0.5000) and Ni at (0.5000, 0.5000, 0.2114).



First-principles (GGA-PBE) data for Nb3CdNi after structural relaxation, as listed in Alexandria via LeMat-Bulk.

Its energy relative to the lowest polymorph listed for this composition is 0.0000 eV per atom.

It has space group Pm-3m (No. 221), with a = 4.6598 Å, b = 4.6598 Å, c = 4.6598 Å, α = 90.00°, β = 90.00° and γ = 90.00°. The asymmetric unit holds Nb at (0.0000, 0.0000, 0.5000), Cd at (0.5000, 0.5000, 0.5000) and Ni at (0.0000, 0.0000, 0.0000).



First-principles (GGA-PBE) data for NbCdNi2 after structural relaxation, as listed in Alexandria via LeMat-Bulk.

The calculation puts the final energy at -82.662 eV/cell.

It has space group I-42d (No. 122), with a = 6.8839 Å, b = 6.8839 Å, c = 5.5971 Å, α = 90.00°, β = 90.00° and γ = 90.00°. The asymmetric unit holds Nb at (0.0000, 0.0000, 0.0000), Cd at (0.0000, 0.0000, 0.5000) and Ni at (0.2270, 0.7500, 0.1250).



First-principles (GGA-PBE) data for Nb2Cd2Ni after structural relaxation, as listed in Alexandria via LeMat-Bulk.

The calculation puts the final energy at -50.749 eV/cell.

It has space group P4/mbm (No. 127), with a = 6.3190 Å, b = 6.3190 Å, c = 4.9508 Å, α = 90.00°, β = 90.00° and γ = 90.00°. The asymmetric unit holds Nb at (0.1416, 0.3584, 0.0000), Cd at (0.1662, 0.6662, 0.5000) and Ni at (0.0000, 0.0000, 0.0000).



First-principles (GGA-PBE) data for NbCdNi after structural relaxation, as listed in Alexandria via LeMat-Bulk.

Its energy relative to the lowest polymorph listed for this composition is 0.0334 eV per atom.

It has space group P4/mmm (No. 123), with a = 2.8774 Å, b = 2.8774 Å, c = 11.8516 Å, α = 90.00°, β = 90.00° and γ = 90.00°. The asymmetric unit holds Nb at (0.0000, 0.0000, 0.1481), Cd at (0.5000, 0.5000, 0.3461), Ni at (0.0000, 0.0000, 0.5000) and Ni at (0.5000, 0.5000, 0.0000).



First-principles (GGA-PBE) data for NbCdNi after structural relaxation, as listed in Alexandria via LeMat-Bulk.

Its energy relative to the lowest polymorph listed for this composition is 0.0000 eV per atom.

It has space group I4mm (No. 107), with a = 2.8752 Å, b = 2.8752 Å, c = 11.9191 Å, α = 90.00°, β = 90.00° and γ = 90.00°. The asymmetric unit holds Nb at (0.0000, 0.0000, 0.0000), Cd at (0.0000, 0.0000, 0.6991) and Ni at (0.0000, 0.0000, 0.3585).



First-principles (GGA-PBE) data for Nb3CdNi after structural relaxation, as listed in Alexandria via LeMat-Bulk.

Its energy relative to the lowest polymorph listed for this composition is 1.5650 eV per atom.

It has space group Pm-3m (No. 221), with a = 4.9616 Å, b = 4.9616 Å, c = 4.9616 Å, α = 90.00°, β = 90.00° and γ = 90.00°. The asymmetric unit holds Nb at (0.0000, 0.0000, 0.5000), Cd at (0.0000, 0.0000, 0.0000) and Ni at (0.5000, 0.5000, 0.5000).



First-principles (GGA-PBE) data for NbCd2Ni2 after structural relaxation, as listed in Alexandria via LeMat-Bulk.

Its energy relative to the lowest polymorph listed for this composition is 0.0000 eV per atom.

It has space group P4/mbm (No. 127), with a = 6.3466 Å, b = 6.3466 Å, c = 4.1468 Å, α = 90.00°, β = 90.00° and γ = 90.00°. The asymmetric unit holds Nb at (0.0000, 0.0000, 0.0000), Cd at (0.1737, 0.3263, 0.5000) and Ni at (0.1292, 0.6292, 0.0000).



First-principles (GGA-PBE) data for NbCdNiRh after structural relaxation, as listed in Alexandria via LeMat-Bulk.

The calculation puts the final energy at -98.287 eV/cell.

It has space group F-43m (No. 216), with a = 6.3168 Å, b = 6.3168 Å, c = 6.3168 Å, α = 90.00°, β = 90.00° and γ = 90.00°. The asymmetric unit holds Nb at (0.0000, 0.0000, 0.0000), Cd at (0.0000, 0.0000, 0.5000), Ni at (0.2500, 0.2500, 0.2500) and Rh at (0.2500, 0.2500, 0.7500).



First-principles (GGA-PBE) data for NbCd2NiRh after structural relaxation, as listed in Alexandria via LeMat-Bulk.

The calculation puts the final energy at -17.284 eV/cell.

It has space group P4/mmm (No. 123), with a = 5.3203 Å, b = 5.3203 Å, c = 4.3893 Å, α = 90.00°, β = 90.00° and γ = 90.00°. The asymmetric unit holds Nb at (0.0000, 0.0000, 0.0000), Cd at (0.0000, 0.5000, 0.0000), Ni at (0.0000, 0.0000, 0.5000) and Rh at (0.5000, 0.5000, 0.5000).



First-principles (GGA-PBE) data for NbCdNi2Se after structural relaxation, as listed in Alexandria via LeMat-Bulk.

As for the formation energy (no corrections): 700 kJ/mol of formula units.

It has space group P4/mmm (No. 123), with a = 4.5864 Å, b = 4.5864 Å, c = 4.9553 Å, α = 90.00°, β = 90.00° and γ = 90.00°. The asymmetric unit holds Nb at (0.0000, 0.0000, 0.0000), Cd at (0.5000, 0.5000, 0.5000), Ni at (0.0000, 0.5000, 0.5000) and Se at (0.5000, 0.5000, 0.0000).



First-principles (GGA-PBE) data for NbTlCdNi2 after structural relaxation, as listed in Alexandria via LeMat-Bulk.

The calculation puts the final energy at -19.528 eV/cell.

It has space group P4/mmm (No. 123), with a = 4.6448 Å, b = 4.6448 Å, c = 5.4865 Å, α = 90.00°, β = 90.00° and γ = 90.00°. The asymmetric unit holds Nb at (0.0000, 0.0000, 0.0000), Tl at (0.0000, 0.0000, 0.5000), Cd at (0.5000, 0.5000, 0.5000) and Ni at (0.0000, 0.5000, 0.0000).



First-principles (GGA-PBE) data for Nb2VCdNi after structural relaxation, as listed in Alexandria via LeMat-Bulk.

The calculation puts the final energy at -30.804 eV/cell.

It has space group P4/mmm (No. 123), with a = 4.5830 Å, b = 4.5830 Å, c = 4.6746 Å, α = 90.00°, β = 90.00° and γ = 90.00°. The asymmetric unit holds Nb at (0.0000, 0.5000, 0.0000), V at (0.0000, 0.0000, 0.5000), Cd at (0.5000, 0.5000, 0.5000) and Ni at (0.5000, 0.5000, 0.0000).



First-principles (GGA-PBE) data for NbZnCdNi2 after structural relaxation, as listed in Alexandria via LeMat-Bulk.

The calculation puts the final energy at -17.450 eV/cell.

It has space group P4/mmm (No. 123), with a = 4.5635 Å, b = 4.5635 Å, c = 5.4599 Å, α = 90.00°, β = 90.00° and γ = 90.00°. The asymmetric unit holds Nb at (0.0000, 0.0000, 0.0000), Zn at (0.5000, 0.5000, 0.5000), Cd at (0.0000, 0.0000, 0.5000) and Ni at (0.0000, 0.5000, 0.0000).



First-principles (GGA-PBE) data for ZrNb2CdNi after structural relaxation, as listed in Alexandria via LeMat-Bulk.

The calculation puts the final energy at -32.709 eV/cell.

It has space group P4/mmm (No. 123), with a = 4.6602 Å, b = 4.6602 Å, c = 4.8771 Å, α = 90.00°, β = 90.00° and γ = 90.00°. The asymmetric unit holds Zr at (0.0000, 0.0000, 0.0000), Nb at (0.0000, 0.5000, 0.5000), Cd at (0.5000, 0.5000, 0.0000) and Ni at (0.0000, 0.0000, 0.5000).